i:
MoRh2Au (PBE, relaxed); symmetry = P4/mmm (123)
1.0
-0.185 -3.936 0.776
3.244 0.310 2.349
-2.243 0.698 3.006
Rh Au Mo
2 1 1
Cartesian
0.000 0.000 0.000 Rh
1.530 -1.813 1.563 Rh
-1.214 -1.619 1.891 Au
0.501 0.504 2.678 Mo

***

ii:
MoRh2Au (PBE, relaxed); symmetry = F-43m (216)
1.0
-3.645 -2.526 -0.427
-0.472 -2.647 -3.552
0.287 -4.421 0.463
Mo Au Rh
1 1 2
Cartesian
-2.873 -7.195 -2.637 Mo
-1.915 -4.797 -1.758 Au
-0.958 -2.398 -0.879 Rh
0.000 0.000 0.000 Rh

***

iii:
MoRh2Au (PBE, relaxed); symmetry = P4/mmm (123)
1.0
-1.640 0.241 -2.267
-0.601 -2.740 0.144
-6.177 1.600 4.636
Au Rh Mo
1 2 1
Cartesian
-2.665 -0.849 0.098 Au
-6.056 1.569 4.546 Rh
-3.209 0.831 2.409 Rh
-5.753 -0.049 2.416 Mo

***

Stability, highest: iii

***

i:
MoRh2Au (PBE, relaxed); symmetry = Pm (6)
1.0
4.005 0.000 0.000
0.000 2.780 -0.005
0.000 2.786 5.551
Rh Au Mo
2 1 1
Cartesian
2.003 1.390 1.316 Rh
0.000 2.782 5.480 Rh
0.000 2.785 2.752 Au
2.003 4.178 4.322 Mo

***

ii:
MoRh2Au (PBE, relaxed); symmetry = P4mm (99)
1.0
2.782 0.000 0.000
0.000 2.782 0.000
0.000 0.000 7.988
Rh Mo Au
2 1 1
Cartesian
0.000 0.000 7.951 Rh
1.391 1.391 1.910 Rh
1.391 1.391 6.113 Mo
0.000 0.000 3.996 Au

***

iii:
MoRh2Au (PBE, relaxed); symmetry = R-3m (166)
1.0
9.273 -0.011 -0.006
8.852 2.764 -0.006
8.852 1.345 2.415
Rh Mo Au
2 1 1
Cartesian
13.327 2.024 1.187 Rh
0.161 0.024 0.014 Rh
20.232 3.073 1.802 Mo
6.744 1.024 0.601 Au

***

Stability, highest: iii

***

i:
MoRh2Au (PBE, relaxed); symmetry = P4/mmm (123)
1.0
3.279 0.000 0.000
0.000 3.279 0.000
0.000 0.000 5.835
Mo Au Rh
1 1 2
Cartesian
1.639 1.639 4.376 Mo
1.639 1.639 1.459 Au
0.000 0.000 5.731 Rh
0.000 0.000 3.021 Rh

***

ii:
MoRh2Au (PBE, relaxed); symmetry = C2/m (12)
1.0
4.807 0.003 0.003
4.001 2.663 0.003
0.813 0.246 4.823
Rh Mo Au
2 1 1
Cartesian
8.772 2.655 0.078 Rh
4.846 1.467 2.343 Rh
2.405 0.728 1.207 Mo
7.215 2.184 3.622 Au

***

Stability, highest: ii

***

i:
MoRh2Au (PBE, relaxed); symmetry = P2/m (10)
1.0
-1.861 -0.284 2.072
-3.368 -1.506 -3.232
-0.862 -5.220 -1.490
Rh Mo Au
2 1 1
Cartesian
-2.615 -0.895 -0.580 Rh
0.000 0.000 0.000 Rh
-0.431 -2.610 -0.745 Mo
-3.046 -3.505 -1.325 Au

***

ii:
MoRh2Au (PBE, relaxed); symmetry = Cmmm (65)
1.0
-3.264 1.998 -2.870
3.253 -2.140 -2.780
-1.510 -2.377 0.063
Rh Mo Au
2 1 1
Cartesian
0.000 0.000 0.000 Rh
-0.006 -0.071 -2.825 Rh
0.871 -2.259 -1.358 Mo
-2.387 -0.189 -1.404 Au

***

Stability, highest: ii